First-principles (PBE) data for a geometry-optimized Rh2Cl structure, as listed in Alexandria via LeMat-Bulk.

As for the energy relative to the lowest polymorph listed for this composition: 0.000 eV/atom. As for the formation energy from raw total energies: 0.221 eV per atom. As for the total energy: -5.30 eV per atom. Its magnetic moment is 1.101 μB/f.u.

Unit cell a=3.0473 b=17.4413 c=4.1045 alpha=90.00 beta=90.00 gamma=90.00
Space group Cmcm (No. 63)
One atom of each set of equivalent atoms:
Rh 0.0000 0.0431 0.2500 x4
Rh 0.0000 0.4088 0.2500 x4
Cl 0.0000 0.3292 0.7500 x4